1.
Here is a relaxed structure of InRe2Si from Alexandria. Energies are from PBE.

abc: 4.093 4.093 18.016
angles: 90.00 90.00 90.00
Space group I-42d (No. 122)
Unique sites:
In 0.000 0.000 0.000 [4 per cell]
Re 0.159 0.250 0.625 [8 per cell]
Si 0.000 0.000 0.500 [4 per cell]

Properties
**Total moment**: 0.00 μB per cell
**Relative energy among the computed polymorphs**: 467 meV/atom
**N(E_F)**: 13.2 states/eV per cell
**Theoretical density**: 11.34 g cm⁻³
**DFT total energy**: -7.597 eV per atom
**Uncorrected formation energy**: 0.6675 eV per atom

---

2.
Here is a relaxed structure of InRe2Si from Alexandria. Energies are from PBE.

abc: 3.057 4.732 8.818
angles: 90.00 90.00 90.00
Space group Immm (No. 71)
Unique sites:
In 0.000 0.000 0.000 [2 per cell]
Re 0.000 0.500 0.215 [4 per cell]
Si 0.000 0.000 0.500 [2 per cell]

Properties
**Total moment**: 0.00 μB per cell
**Relative energy among the computed polymorphs**: 174 meV/atom
**N(E_F)**: 6.7 states/eV per cell
**Theoretical density**: 13.42 g cm⁻³
**DFT total energy**: -7.890 eV per atom
**Uncorrected formation energy**: 0.3746 eV per atom

---

3.
Here is a relaxed structure of InRe2Si from Alexandria. Energies are from PBE.

abc: 3.124 3.124 6.566
angles: 90.00 90.00 90.00
Space group P4mm (No. 99)
Unique sites:
In 0.000 0.000 0.000 [1 per cell]
Re 0.000 0.000 0.532 [1 per cell]
Re 0.500 0.500 0.278 [1 per cell]
Si 0.500 0.500 0.706 [1 per cell]

Properties
**Total moment**: 0.00 μB per cell
**Relative energy among the computed polymorphs**: 0 meV/atom
**N(E_F)**: 1.8 states/eV per cell
**Theoretical density**: 13.36 g cm⁻³
**DFT total energy**: -8.064 eV per atom
**Uncorrected formation energy**: 0.2007 eV per atom

---

4.
Here is a relaxed structure of In3ReSi from Alexandria. Energies are from PBE.

abc: 5.108 5.108 5.108
angles: 90.00 90.00 90.00
Space group Pm-3m (No. 221)
Unique sites:
In 0.000 0.000 0.500 [3 per cell]
Re 0.500 0.500 0.500 [1 per cell]
Si 0.000 0.000 0.000 [1 per cell]

Properties
**Total moment**: 3.35 μB per cell
**Relative energy among the computed polymorphs**: 454 meV/atom
**N(E_F)**: 5.3 states/eV per cell
**Theoretical density**: 6.96 g cm⁻³
**DFT total energy**: -3.792 eV per atom
**Uncorrected formation energy**: 1.4255 eV per atom